[1]
VASP calculation (PBE-GGA) on a relaxed NaEuTl crystal.

Unit cell a=5.4815 b=5.4815 c=3.6682 alpha=90.00 beta=90.00 gamma=120.00
Sites, in units of the cell vectors:
Na  0.0000  0.0000  0.0000
Eu  0.6667  0.3333  0.4946
Tl  0.3333  0.6667  0.9903

Computed properties:
Space-group type: No. 156
Total magnetic moment in μB/cell: 7.5
D(E_F) in states/eV/cell: 9.731
Formation enthalpy at 0 K in eV/atom: -0.1527
Uncorrected energy in eV for the cell shown: -14.4


[2]
VASP calculation (PBE-GGA) on a relaxed Na2EuTl crystal.

Unit cell a=4.2753 b=4.2753 c=7.3824 alpha=90.00 beta=90.00 gamma=90.00
Sites, in units of the cell vectors:
Na  0.0000  0.0000  0.2098
Na  0.0000  0.0000  0.7902
Eu  0.5000  0.5000  0.5000
Tl  0.5000  0.5000  0.0000

Computed properties:
Space-group type: No. 123
Total magnetic moment in μB/cell: 7.8
D(E_F) in states/eV/cell: 10.784
Formation enthalpy at 0 K in eV/atom: -0.0235
Uncorrected energy in eV for the cell shown: -15.4


[3]
VASP calculation (PBE-GGA) on a relaxed NaEuTl crystal.

Unit cell a=6.2988 b=6.2988 c=6.2988 alpha=141.36 beta=141.36 gamma=55.80
Sites, in units of the cell vectors:
Na  0.0000  0.0000  0.0000
Eu  0.3064  0.3064  0.0000
Tl  0.6444  0.6444  0.0000

Computed properties:
Space-group type: No. 107
Total magnetic moment in μB/cell: 7.1
D(E_F) in states/eV/cell: 11.425
Formation enthalpy at 0 K in eV/atom: -0.1616
Uncorrected energy in eV for the cell shown: -14.4


[4]
VASP calculation (PBE-GGA) on a relaxed Na2EuTl crystal.

Unit cell a=12.7714 b=12.7714 c=12.7714 alpha=16.30 beta=16.30 gamma=16.30
Sites, in units of the cell vectors:
Na  0.0945  0.0945  0.0945
Na  0.9055  0.9055  0.9055
Eu  0.0000  0.0000  0.0000
Tl  0.5000  0.5000  0.5000

Computed properties:
Space-group type: No. 166
Total magnetic moment in μB/cell: 7.8
D(E_F) in states/eV/cell: 3.005
Formation enthalpy at 0 K in eV/atom: 0.0896
Uncorrected energy in eV for the cell shown: -14.9


[5]
VASP calculation (PBE-GGA) on a relaxed NaEu2Tl crystal.

Unit cell a=11.7641 b=11.7641 c=11.7641 alpha=19.03 beta=19.03 gamma=19.03
Sites, in units of the cell vectors:
Na  0.0000  0.0000  0.0000
Eu  0.2397  0.2397  0.2397
Eu  0.7603  0.7603  0.7603
Tl  0.5000  0.5000  0.5000

Computed properties:
Space-group type: No. 166
Total magnetic moment in μB/cell: 14.8
D(E_F) in states/eV/cell: 15.475
Formation enthalpy at 0 K in eV/atom: -0.1013
Uncorrected energy in eV for the cell shown: -24.6


[6]
VASP calculation (PBE-GGA) on a relaxed Na2EuTl crystal.

Unit cell a=4.8478 b=4.8478 c=5.6611 alpha=90.00 beta=90.00 gamma=90.00
Sites, in units of the cell vectors:
Na  0.0000  0.5000  0.0000
Na  0.5000  0.0000  0.0000
Eu  0.0000  0.0000  0.5000
Tl  0.5000  0.5000  0.5000

Computed properties:
Space-group type: No. 123
Total magnetic moment in μB/cell: 8.2
D(E_F) in states/eV/cell: 11.249
Formation enthalpy at 0 K in eV/atom: -0.0775
Uncorrected energy in eV for the cell shown: -15.6


[7]
VASP calculation (PBE-GGA) on a relaxed NaEuTl4 crystal.

Unit cell a=6.4359 b=6.4359 c=6.4359 alpha=60.00 beta=60.00 gamma=60.00
Sites, in units of the cell vectors:
Na  0.0000  0.0000  0.0000
Eu  0.7500  0.7500  0.7500
Tl  0.3748  0.3748  0.3748
Tl  0.3748  0.3748  0.8756
Tl  0.3748  0.8756  0.3748
Tl  0.8756  0.3748  0.3748

Computed properties:
Space-group type: No. 216
Total magnetic moment in μB/cell: 7.1
D(E_F) in states/eV/cell: 14.647
Formation enthalpy at 0 K in eV/atom: -0.1490
Uncorrected energy in eV for the cell shown: -22.0


[8]
VASP calculation (PBE-GGA) on a relaxed NaEu2Tl crystal.

Unit cell a=4.0834 b=4.0834 c=8.6080 alpha=90.00 beta=90.00 gamma=90.00
Sites, in units of the cell vectors:
Na  0.0000  0.0000  0.0000
Eu  0.5000  0.5000  0.2881
Eu  0.5000  0.5000  0.7119
Tl  0.0000  0.0000  0.5000

Computed properties:
Space-group type: No. 123
Total magnetic moment in μB/cell: 14.5
D(E_F) in states/eV/cell: 18.887
Formation enthalpy at 0 K in eV/atom: -0.1948
Uncorrected energy in eV for the cell shown: -25.0